The following is a PBE calculation of an optimized crystal structure of Tb2ThUC4, from the Alexandria database.

Values from the calculation:
The value obtained for the theoretical density is 10.2 Mg/m³. The formation enthalpy at 0 K comes out at -0.22 eV per atom. The calculation puts the total energy at -8.33 eV/atom. The total moment is 0.00 μB/cell. Its density of states at the Fermi level is 4.1 states/eV/cell.

The structure in CIF format:
```
data_Tb2ThUC4
_space_group_name_H-M_alt 'P 1 2/m 1'
_space_group_IT_number 10
_cell_length_a 6.240
_cell_length_b 3.669
_cell_length_c 6.329
_cell_angle_alpha 90.00
_cell_angle_beta 109.60
_cell_angle_gamma 90.00
loop_
_space_group_symop_operation_xyz
'x,y,z'
'-x,-y,-z'
'-x,y,-z'
'x,-y,z'
loop_
_atom_site_label
_atom_site_type_symbol
_atom_site_fract_x
_atom_site_fract_y
_atom_site_fract_z
_atom_site_occupancy
Tb1 Tb 0.000 0.000 0.000 1
Tb2 Tb 0.000 0.500 0.500 1
Th1 Th 0.500 0.000 0.500 1
U1 U 0.500 0.500 0.000 1
C1 C 0.273 0.500 0.228 1
C2 C 0.275 0.000 0.775 1
```

---

The following is a PBE calculation of an optimized crystal structure of LiAu2Cl, from the Alexandria database.

Values from the calculation:
The value obtained for the theoretical density is 7.7 Mg/m³. The calculation puts the total energy at -3.13 eV/atom. The total moment is 0.00 μB/cell. The value obtained for the energy relative to the elements, uncorrected is -2.2 eV per formula unit. Its energy above the most stable polymorph in this dataset is 9 kJ/mol of formula units. Its density of states at the Fermi level is 0.5 states/eV/cell.

The structure in CIF format:
```
data_LiAu2Cl
_space_group_name_H-M_alt 'P 4 m m'
_space_group_IT_number 99
_cell_length_a 3.637
_cell_length_b 3.637
_cell_length_c 7.096
_cell_angle_alpha 90.00
_cell_angle_beta 90.00
_cell_angle_gamma 90.00
loop_
_space_group_symop_operation_xyz
'x,y,z'
'-y,x,z'
'-x,-y,z'
'y,-x,z'
'-x,y,z'
'y,x,z'
'x,-y,z'
'-y,-x,z'
loop_
_atom_site_label
_atom_site_type_symbol
_atom_site_fract_x
_atom_site_fract_y
_atom_site_fract_z
_atom_site_occupancy
Li1 Li 0.000 0.000 0.000 1
Au1 Au 0.000 0.000 0.500 1
Au2 Au 0.500 0.500 0.397 1
Cl1 Cl 0.500 0.500 0.979 1
```

---

The following is a PBE calculation of an optimized crystal structure of HfFeSnPt2, from the Alexandria database.

Values from the calculation:
The value obtained for the theoretical density is 10.2 Mg/m³. The formation enthalpy at 0 K comes out at 1.26 eV per atom. The calculation puts the total energy at -5.64 eV/atom. The total moment is 2.85 μB/cell. Its density of states at the Fermi level is 5.1 states/eV/cell.

The structure in CIF format:
```
data_HfFeSnPt2
_space_group_name_H-M_alt 'P 4/m m m'
_space_group_IT_number 123
_space_group_name_Hall '-P 4 2'
_cell_length_a 4.851
_cell_length_b 4.851
_cell_length_c 5.130
_cell_angle_alpha 90.00
_cell_angle_beta 90.00
_cell_angle_gamma 90.00
loop_
_atom_site_label
_atom_site_type_symbol
_atom_site_fract_x
_atom_site_fract_y
_atom_site_fract_z
_atom_site_occupancy
Hf1 Hf 0.000 0.000 0.000 1
Fe1 Fe 0.500 0.500 0.000 1
Sn1 Sn 0.000 0.000 0.500 1
Pt1 Pt 0.000 0.500 0.500 1
```

---

The following is a PBE calculation of an optimized crystal structure of Rb2TiCuO4, from the Alexandria database.

Values from the calculation:
The value obtained for the theoretical density is 3.6 Mg/m³. The calculation puts the total energy at -6.02 eV/atom. The total moment is 8.12 μB/cell. The value obtained for the energy relative to the elements, uncorrected is -14.4 eV per formula unit. Its density of states at the Fermi level is 19.1 states/eV/cell.

The structure in CIF format:
```
data_Rb2TiCuO4
_space_group_name_H-M_alt 'F d d d'
_space_group_IT_number 70
_cell_length_a 5.099
_cell_length_b 12.394
_cell_length_c 20.116
_cell_angle_alpha 90.00
_cell_angle_beta 90.00
_cell_angle_gamma 90.00
loop_
_space_group_symop_operation_xyz
'x,y,z'
'-x,-y,-z'
'-x+1/4,-y+1/4,z'
'x+1/4,y+1/4,-z'
'x,-y+1/4,-z+1/4'
'-x,y+1/4,z+1/4'
'-x+1/4,y,-z+1/4'
'x+1/4,-y,z+1/4'
'x,y+1/2,z+1/2'
'-x,-y+1/2,-z+1/2'
'-x+1/4,-y+3/4,z+1/2'
'x+1/4,y+3/4,-z+1/2'
'x,-y+3/4,-z+3/4'
'-x,y+3/4,z+3/4'
'-x+1/4,y+1/2,-z+3/4'
'x+1/4,-y+1/2,z+3/4'
'x+1/2,y,z+1/2'
'-x+1/2,-y,-z+1/2'
'-x+3/4,-y+1/4,z+1/2'
'x+3/4,y+1/4,-z+1/2'
'x+1/2,-y+1/4,-z+3/4'
'-x+1/2,y+1/4,z+3/4'
'-x+3/4,y,-z+3/4'
'x+3/4,-y,z+3/4'
'x+1/2,y+1/2,z'
'-x+1/2,-y+1/2,-z'
'-x+3/4,-y+3/4,z'
'x+3/4,y+3/4,-z'
'x+1/2,-y+3/4,-z+1/4'
'-x+1/2,y+3/4,z+1/4'
'-x+3/4,y+1/2,-z+1/4'
'x+3/4,-y+1/2,z+1/4'
loop_
_atom_site_label
_atom_site_type_symbol
_atom_site_fract_x
_atom_site_fract_y
_atom_site_fract_z
_atom_site_occupancy
Rb1 Rb 0.125 0.125 0.300 1
Ti1 Ti 0.125 0.125 0.625 1
Cu1 Cu 0.125 0.125 0.125 1
O1 O 0.107 0.286 0.830 1
```

---

The following is a PBE calculation of an optimized crystal structure of Ho4ZrCd3, from the Alexandria database.

Values from the calculation:
The value obtained for the theoretical density is 8.7 Mg/m³. The formation enthalpy at 0 K comes out at -0.17 eV per atom. The calculation puts the total energy at -3.87 eV/atom. The total moment is 0.00 μB/cell. Its density of states at the Fermi level is 10.4 states/eV/cell.

The structure in CIF format:
```
data_Ho4ZrCd3
_space_group_name_H-M_alt 'P m m m'
_space_group_IT_number 47
_cell_length_a 3.517
_cell_length_b 5.363
_cell_length_c 11.032
_cell_angle_alpha 90.00
_cell_angle_beta 90.00
_cell_angle_gamma 90.00
loop_
_space_group_symop_operation_xyz
'x,y,z'
'-x,-y,-z'
'-x,-y,z'
'x,y,-z'
'x,-y,-z'
'-x,y,z'
'-x,y,-z'
'x,-y,z'
loop_
_atom_site_label
_atom_site_type_symbol
_atom_site_fract_x
_atom_site_fract_y
_atom_site_fract_z
_atom_site_occupancy
Ho1 Ho 0.000 0.000 0.000 1
Ho2 Ho 0.000 0.000 0.500 1
Ho3 Ho 0.000 0.500 0.248 1
Zr1 Zr 0.500 0.500 0.500 1
Cd1 Cd 0.500 0.000 0.252 1
Cd2 Cd 0.500 0.500 0.000 1
```

---

The following is a PBE calculation of an optimized crystal structure of Ho3BiS6, from the Alexandria database.

Values from the calculation:
The value obtained for the theoretical density is 6.2 Mg/m³. The calculation puts the total energy at -5.83 eV/atom. The total moment is 0.00 μB/cell. The value obtained for the energy relative to the elements, uncorrected is -15.9 eV per formula unit. Its energy above the most stable polymorph in this dataset is 39 kJ/mol of formula units.

The structure in CIF format:
```
data_Ho3BiS6
_space_group_name_H-M_alt 'C m c 21'
_space_group_IT_number 36
_cell_length_a 10.564
_cell_length_b 13.377
_cell_length_c 6.828
_cell_angle_alpha 90.00
_cell_angle_beta 90.00
_cell_angle_gamma 90.00
loop_
_space_group_symop_operation_xyz
'x,y,z'
'-x,-y,z+1/2'
'-x,y,z'
'x,-y,z+1/2'
'x+1/2,y+1/2,z'
'-x+1/2,-y+1/2,z+1/2'
'-x+1/2,y+1/2,z'
'x+1/2,-y+1/2,z+1/2'
loop_
_atom_site_label
_atom_site_type_symbol
_atom_site_fract_x
_atom_site_fract_y
_atom_site_fract_z
_atom_site_occupancy
Ho1 Ho 0.000 0.095 0.000 1
Ho2 Ho 0.187 0.399 0.092 1
Bi1 Bi 0.000 0.321 0.608 1
S1 S 0.000 0.270 0.221 1
S2 S 0.000 0.491 0.864 1
S3 S 0.165 0.031 0.291 1
S4 S 0.173 0.229 0.821 1
```

---

The following is a PBE calculation of an optimized crystal structure of ReNiB3, from the Alexandria database.

Values from the calculation:
The value obtained for the theoretical density is 6.9 Mg/m³. The formation enthalpy at 0 K comes out at 1.31 eV per atom. The calculation puts the total energy at -6.34 eV/atom. The total moment is 0.71 μB/cell. Its energy above the most stable polymorph in this dataset is 0 kJ/mol of formula units. Its density of states at the Fermi level is 4.9 states/eV/cell.

The structure in CIF format:
```
data_ReNiB3
_space_group_name_H-M_alt 'P m -3 m'
_space_group_IT_number 221
_space_group_name_Hall '-P 4 2 3'
_cell_length_a 4.059
_cell_length_b 4.059
_cell_length_c 4.059
_cell_angle_alpha 90.00
_cell_angle_beta 90.00
_cell_angle_gamma 90.00
loop_
_atom_site_label
_atom_site_type_symbol
_atom_site_fract_x
_atom_site_fract_y
_atom_site_fract_z
_atom_site_occupancy
Re1 Re 0.000 0.000 0.000 1
Ni1 Ni 0.500 0.500 0.500 1
B1 B 0.000 0.000 0.500 1
```

---

The following is a PBE calculation of an optimized crystal structure of RbPmCuI6, from the Alexandria database.

Values from the calculation:
The value obtained for the theoretical density is 4.1 Mg/m³. The calculation puts the total energy at -3.07 eV/atom. The total moment is 0.87 μB/cell. The value obtained for the energy relative to the elements, uncorrected is -8.5 eV per formula unit. Its density of states at the Fermi level is 2.9 states/eV/cell.

The structure in CIF format:
```
data_RbPmCuI6
_space_group_name_H-M_alt 'P 1'
_space_group_IT_number 1
_cell_length_a 7.475
_cell_length_b 7.482
_cell_length_c 8.191
_cell_angle_alpha 96.78
_cell_angle_beta 97.14
_cell_angle_gamma 108.31
loop_
_space_group_symop_operation_xyz
'x,y,z'
loop_
_atom_site_label
_atom_site_type_symbol
_atom_site_fract_x
_atom_site_fract_y
_atom_site_fract_z
_atom_site_occupancy
Rb1 Rb 0.000 0.000 0.000 1
Pm1 Pm 0.369 0.631 0.500 1
Cu1 Cu 0.728 0.271 0.500 1
I1 I 0.059 0.576 0.208 1
I2 I 0.077 0.316 0.652 1
I3 I 0.426 0.939 0.793 1
I4 I 0.482 0.327 0.270 1
I5 I 0.675 0.517 0.730 1
I6 I 0.681 0.923 0.347 1
```